Record 1
Below is a geometry-optimized TlTe2As structure, with properties calculated at the GGA-PBE level.

Formation energy without anion corrections, eV per atom: 0.332
M_tot, μB/f.u.: 0.00
Energy, eV/atom: -2.99
DOS(E_F), states/eV per atom: 0.798

Geometry as extended XYZ:
```
16
Lattice="7.5755 0.0000 0.0000 0.0000 7.5755 0.0000 0.0000 0.0000 7.5755" Properties=species:S:1:pos:R:3 pbc="T T T"
Tl 0.0000 0.0000 0.0000
Tl 0.0000 3.7878 3.7878
Tl 3.7878 0.0000 3.7878
Tl 3.7878 3.7878 0.0000
Te 0.0000 0.0000 3.7878
Te 0.0000 3.7878 0.0000
Te 1.8939 1.8939 1.8939
Te 1.8939 5.6817 5.6817
Te 3.7878 0.0000 0.0000
Te 3.7878 3.7878 3.7878
Te 5.6817 1.8939 5.6817
Te 5.6817 5.6817 1.8939
As 1.8939 1.8939 5.6817
As 1.8939 5.6817 1.8939
As 5.6817 1.8939 1.8939
As 5.6817 5.6817 5.6817
```

***

Record 2
Below is a geometry-optimized Pm2NdDyEr structure, with properties calculated at the GGA-PBE level.

ΔH_f (0 K), eV per atom: 0.395
M_tot, μB/f.u.: 0.00
Energy, eV/atom: -4.29
DOS(E_F), states/eV per atom: 1.517

Geometry as extended XYZ:
```
10
Lattice="4.2181 -5.8168 0.0000 4.2181 5.8168 0.0000 0.0000 0.0000 7.2579" Properties=species:S:1:pos:R:3 pbc="T T T"
Pm 1.6173 0.0000 0.0000
Pm 1.6173 0.0000 3.6290
Pm 6.8188 0.0000 0.0000
Pm 6.8188 0.0000 3.6290
Nd 4.2181 3.1998 5.4434
Nd 4.2181 -3.1998 1.8145
Dy 4.2181 0.1101 5.4434
Dy 4.2181 -0.1101 1.8145
Er 4.2181 3.1205 1.8145
Er 4.2181 -3.1205 5.4434
```